Density functional theory data (GGA-PBEsol) for crystalline BiI3 at its relaxed geometry.

As for the space group: Pnma (62). The density of states at the Fermi level comes out at 0.00 states/eV per cell. The calculation puts the electronic total energy at -2.80 eV per atom.

Cell lengths 7.344, 7.612, 12.709 Å; angles 90.00, 90.00, 90.00 degrees
Atoms (fractional coordinates):
Bi (0.250, 0.953, 0.250)
Bi (0.250, 0.453, 0.250)
Bi (0.750, 0.047, 0.750)
Bi (0.750, 0.547, 0.750)
I (0.920, 0.203, 0.250)
I (0.580, 0.703, 0.250)
I (0.080, 0.797, 0.750)
I (0.420, 0.297, 0.750)
I (0.086, 0.703, 0.085)
I (0.414, 0.203, 0.415)
I (0.914, 0.297, 0.585)
I (0.586, 0.797, 0.915)
I (0.914, 0.297, 0.915)
I (0.586, 0.797, 0.585)
I (0.086, 0.703, 0.415)
I (0.414, 0.203, 0.085)


Density functional theory data (GGA-PBEsol) for crystalline Ta2CuRh at its relaxed geometry.

As for the space group: Pmm2 (25). The calculation puts the formation energy from the elements at -20 kJ/mol of atoms. The density of states at the Fermi level comes out at 2.72 states/eV per cell. The calculation puts the electronic total energy at -9.61 eV per atom.

Cell lengths 3.115, 3.284, 5.931 Å; angles 90.00, 90.00, 90.00 degrees
Atoms (fractional coordinates):
Rh (0.500, 0.500, 0.740)
Cu (0.000, 0.000, 0.505)
Ta (0.000, 0.000, 0.978)
Ta (0.500, 0.500, 0.276)


Density functional theory data (GGA-PBEsol) for crystalline LiCrSbI2 at its relaxed geometry.

As for the space group: P4/mmm (123). The density of states at the Fermi level comes out at 3.71 states/eV per cell. The calculation puts the electronic total energy at -3.56 eV per atom.

Cell lengths 5.051, 5.257, 5.257 Å; angles 90.00, 90.00, 90.00 degrees
Site moments in Bohr magnetons follow the coordinates.
Atoms (fractional coordinates):
I (0.000, 0.000, 0.500)  -0.02
I (0.000, 0.500, 0.000)  -0.02
Sb (0.500, 0.000, 0.000)  -0.12
Li (0.000, 0.000, 0.000)  0.00
Cr (0.500, 0.500, 0.500)  4.21


Density functional theory data (GGA-PBEsol) for crystalline Y2SiCl at its relaxed geometry.

As for the space group: P4/mmm (123). The density of states at the Fermi level comes out at 1.33 states/eV per cell. Its polymorph energy (0 for the lowest one) is 0.000 eV per atom. The calculation puts the electronic total energy at -6.55 eV per atom.

Cell lengths 3.987, 3.987, 5.566 Å; angles 90.00, 90.00, 90.00 degrees
Atoms (fractional coordinates):
Cl (0.500, 0.500, 0.000)
Si (0.000, 0.000, 0.500)
Y (0.000, 0.000, 0.000)
Y (0.500, 0.500, 0.500)


Density functional theory data (GGA-PBEsol) for crystalline CrTePO2 at its relaxed geometry.

As for the space group: P4/mmm (123). The density of states at the Fermi level comes out at 2.22 states/eV per cell. The calculation puts the electronic total energy at -6.67 eV per atom.

Cell lengths 3.664, 3.664, 5.339 Å; angles 90.00, 90.00, 90.00 degrees
Site moments in Bohr magnetons follow the coordinates.
Atoms (fractional coordinates):
Cr (0.000, 0.000, 0.000)  1.63
Te (0.500, 0.500, 0.500)  0.01
O (0.000, 0.500, 0.000)  -0.10
O (0.500, 0.000, 0.000)  -0.10
P (0.000, 0.000, 0.500)  -0.04


Density functional theory data (GGA-PBEsol) for crystalline ZrBiP3 at its relaxed geometry.

As for the space group: Pm-3m (221). The calculation puts the formation energy from the elements at 33 kJ/mol of atoms. The density of states at the Fermi level comes out at 4.10 states/eV per cell. The calculation puts the electronic total energy at -5.81 eV per atom.

Cell lengths 4.955, 4.955, 4.955 Å; angles 90.00, 90.00, 90.00 degrees
Atoms (fractional coordinates):
P (0.000, 0.500, 0.000)
P (0.000, 0.000, 0.500)
P (0.500, 0.000, 0.000)
Bi (0.500, 0.500, 0.500)
Zr (0.000, 0.000, 0.000)


Density functional theory data (GGA-PBEsol) for crystalline Nd3OsO7 at its relaxed geometry.

As for the space group: Cmcm (63). The density of states at the Fermi level comes out at 3.71 states/eV per cell. The calculation puts the electronic total energy at -8.53 eV per atom.

Cell lengths 6.578, 6.578, 7.510 Å; angles 90.00, 90.00, 111.63 degrees
Site moments in Bohr magnetons follow the coordinates.
Atoms (fractional coordinates):
Nd (0.000, 0.000, 0.000)  0.01
Nd (0.000, 0.000, 0.500)  0.01
Nd (0.916, 0.471, 0.250)  0.03
Nd (0.084, 0.529, 0.750)  0.03
Nd (0.471, 0.916, 0.250)  0.03
Nd (0.529, 0.084, 0.750)  0.03
Os (0.500, 0.500, 0.000)  1.85
Os (0.500, 0.500, 0.500)  1.85
O (0.583, 0.583, 0.250)  0.12
O (0.417, 0.417, 0.750)  0.12
O (0.103, 0.841, 0.250)  0.01
O (0.897, 0.159, 0.750)  0.01
O (0.841, 0.103, 0.250)  0.01
O (0.159, 0.897, 0.750)  0.01
O (0.187, 0.439, 0.040)  0.14
O (0.813, 0.561, 0.540)  0.14
O (0.439, 0.187, 0.040)  0.14
O (0.561, 0.813, 0.540)  0.14
O (0.187, 0.439, 0.460)  0.14
O (0.813, 0.561, 0.960)  0.14
O (0.561, 0.813, 0.960)  0.14
O (0.439, 0.187, 0.460)  0.14


Density functional theory data (GGA-PBEsol) for crystalline As2OsSe at its relaxed geometry.

As for the space group: Cmmm (65). The density of states at the Fermi level comes out at 2.55 states/eV per cell. Its polymorph energy (0 for the lowest one) is 0.069 eV per atom. The calculation puts the electronic total energy at -6.18 eV per atom.

Cell lengths 2.836, 2.836, 10.149 Å; angles 90.00, 90.00, 118.68 degrees
Atoms (fractional coordinates):
As (0.000, 0.000, 0.293)
As (0.000, 0.000, 0.707)
Os (0.500, 0.500, 0.500)
Se (0.500, 0.500, 0.000)


Density functional theory data (GGA-PBEsol) for crystalline AcNd3 at its relaxed geometry.

As for the space group: I4/mmm (139). The calculation puts the formation energy from the elements at 2 kJ/mol of atoms. The density of states at the Fermi level comes out at 6.66 states/eV per cell. The calculation puts the electronic total energy at -4.98 eV per atom.

Cell lengths 5.202, 5.202, 6.355 Å; angles 114.16, 114.16, 90.00 degrees
Atoms (fractional coordinates):
Ac (0.000, 0.000, 0.000)
Nd (0.250, 0.750, 0.500)
Nd (0.750, 0.250, 0.500)
Nd (0.500, 0.500, 0.000)


Density functional theory data (GGA-PBEsol) for crystalline Sr3CaSn4O12 at its relaxed geometry.

As for the space group: Pm (6). The density of states at the Fermi level comes out at 0.00 states/eV per cell. The calculation puts the electronic total energy at -6.66 eV per atom.

Cell lengths 5.667, 5.736, 8.049 Å; angles 90.00, 90.00, 89.93 degrees
Atoms (fractional coordinates):
Sr (0.994, 0.964, 0.000)
Sr (0.491, 0.533, 0.500)
Sr (0.011, 0.040, 0.500)
Ca (0.511, 0.452, 0.000)
Sn (0.500, 0.998, 0.752)
Sn (0.001, 0.501, 0.248)
Sn (0.500, 0.998, 0.248)
Sn (0.001, 0.501, 0.752)
O (0.787, 0.215, 0.792)
O (0.703, 0.704, 0.198)
O (0.207, 0.791, 0.289)
O (0.288, 0.286, 0.708)
O (0.207, 0.791, 0.711)
O (0.288, 0.286, 0.292)
O (0.787, 0.215, 0.208)
O (0.703, 0.704, 0.802)
O (0.424, 0.040, 0.000)
O (0.098, 0.518, 0.000)
O (0.578, 0.976, 0.500)
O (0.924, 0.487, 0.500)


Density functional theory data (GGA-PBEsol) for crystalline MnFeBr at its relaxed geometry.

As for the space group: P3m1 (156). The density of states at the Fermi level comes out at 2.90 states/eV per cell. The calculation puts the electronic total energy at -6.11 eV per atom.

Cell lengths 3.034, 4.154, 4.154 Å; angles 120.00, 90.00, 90.00 degrees
Site moments in Bohr magnetons follow the coordinates.
Atoms (fractional coordinates):
Br (0.846, 0.000, 0.000)  0.09
Fe (0.853, 0.333, 0.667)  2.35
Mn (0.301, 0.667, 0.333)  3.63


Density functional theory data (GGA-PBEsol) for crystalline LiSn2W at its relaxed geometry.

As for the space group: Fm-3m (225). The calculation puts the formation energy from the elements at 34 kJ/mol of atoms. The density of states at the Fermi level comes out at 4.46 states/eV per cell. The calculation puts the electronic total energy at -5.72 eV per atom.

Cell lengths 4.695, 4.695, 4.695 Å; angles 60.00, 60.00, 60.00 degrees
Atoms (fractional coordinates):
Sn (0.250, 0.250, 0.250)
Sn (0.750, 0.750, 0.750)
W (0.500, 0.500, 0.500)
Li (0.000, 0.000, 0.000)


Density functional theory data (GGA-PBEsol) for crystalline Y4C3 at its relaxed geometry.

As for the space group: Pm-3m (221). The calculation puts the formation energy from the elements at -17 kJ/mol of atoms. The density of states at the Fermi level comes out at 4.94 states/eV per cell. Its polymorph energy (0 for the lowest one) is 0.000 eV per atom. The calculation puts the electronic total energy at -8.21 eV per atom.

Cell lengths 5.011, 5.011, 5.011 Å; angles 90.00, 90.00, 90.00 degrees
Atoms (fractional coordinates):
C (0.000, 0.500, 0.000)
C (0.000, 0.000, 0.500)
C (0.500, 0.000, 0.000)
Y (0.000, 0.000, 0.000)
Y (0.000, 0.500, 0.500)
Y (0.500, 0.000, 0.500)
Y (0.500, 0.500, 0.000)


Density functional theory data (GGA-PBEsol) for crystalline CdCuOs at its relaxed geometry.

As for the space group: P3m1 (156). The calculation puts the formation energy from the elements at 40 kJ/mol of atoms. The density of states at the Fermi level comes out at 2.21 states/eV per cell. Its polymorph energy (0 for the lowest one) is 0.000 eV per atom. The calculation puts the electronic total energy at -5.50 eV per atom.

Cell lengths 2.754, 2.754, 6.721 Å; angles 90.00, 90.00, 120.00 degrees
Atoms (fractional coordinates):
Cd (0.000, 0.000, 0.992)
Cu (0.333, 0.667, 0.656)
Os (0.667, 0.333, 0.352)